# Au2Se, single point on PBEsol structure, DFT meta-GGA SCAN
# **Crystal system**: monoclinic
# **ΔE_f (raw)**: 0.185 eV/atom
# **Space-group type**: C2/m
# **Uncorrected energy**: -315.67 eV per cell
data_Au2Se
_chemical_formula_sum 'Au4 Se2'
_cell_length_a 7.0435
_cell_length_b 7.0435
_cell_length_c 6.2613
_cell_angle_alpha 104.66
_cell_angle_beta 104.66
_cell_angle_gamma 23.48
_space_group_name_H-M_alt 'P 1'
_space_group_IT_number 1
loop_
_space_group_symop_operation_xyz
'x,y,z'
loop_
_atom_site_label
_atom_site_fract_x
_atom_site_fract_y
_atom_site_fract_z
_atom_site_occupancy
Au1 0.1409 0.1409 0.1367 1
Au2 0.1888 0.1888 0.6060 1
Au3 0.8112 0.8112 0.3940 1
Au4 0.8591 0.8591 0.8633 1
Se1 0.4354 0.4354 0.2271 1
Se2 0.5646 0.5646 0.7729 1


# Au3Se, single point on PBEsol structure, DFT meta-GGA SCAN
# **Crystal system**: orthorhombic
# **ΔE_f (raw)**: 0.264 eV/atom
# **Space-group type**: Pmmm
# **Uncorrected energy**: -226.49 eV per cell
data_Au3Se
_chemical_formula_sum 'Au3 Se1'
_cell_length_a 2.8633
_cell_length_b 4.2689
_cell_length_c 5.7851
_cell_angle_alpha 90.00
_cell_angle_beta 90.00
_cell_angle_gamma 90.00
_space_group_name_H-M_alt 'P 1'
_space_group_IT_number 1
loop_
_space_group_symop_operation_xyz
'x,y,z'
loop_
_atom_site_label
_atom_site_fract_x
_atom_site_fract_y
_atom_site_fract_z
_atom_site_occupancy
Au1 0.0000 0.0000 0.0000 1
Au2 0.5000 0.5000 0.2449 1
Au3 0.5000 0.5000 0.7551 1
Se1 0.0000 0.0000 0.5000 1


# Au3Se, single point on PBEsol structure, DFT meta-GGA SCAN
# **Crystal system**: cubic
# **ΔE_f (raw)**: 0.348 eV/atom
# **Space-group type**: Fm-3m
# **Uncorrected energy**: -226.16 eV per cell
data_Au3Se
_chemical_formula_sum 'Au3 Se1'
_cell_length_a 4.6571
_cell_length_b 4.6571
_cell_length_c 4.6571
_cell_angle_alpha 60.00
_cell_angle_beta 60.00
_cell_angle_gamma 60.00
_space_group_name_H-M_alt 'P 1'
_space_group_IT_number 1
loop_
_space_group_symop_operation_xyz
'x,y,z'
loop_
_atom_site_label
_atom_site_fract_x
_atom_site_fract_y
_atom_site_fract_z
_atom_site_occupancy
Au1 0.0000 0.0000 0.0000 1
Au2 0.2500 0.2500 0.2500 1
Au3 0.7500 0.7500 0.7500 1
Se1 0.5000 0.5000 0.5000 1


Which of these has the highest uncorrected energy?
number 3